Record 1
SrLaCd2Ru: optimized geometry, GGA-PBE.

Geometry as POSCAR:
```
SrLaCd2Ru
1.0
5.490 0.000 0.000
0.000 5.490 0.000
0.000 0.000 5.029
Ru Cd Sr La
1 2 1 1
direct
0.000 0.000 0.000 Ru
0.000 0.500 0.000 Cd
0.500 0.000 0.000 Cd
0.500 0.500 0.500 Sr
0.000 0.000 0.500 La
```

Computed properties:
Its total energy is -0.271 Ry per atom. The space group is No. 123. Its volume is 151.6 Å³/f.u.

=====

Record 2
LaTc3Pd: optimized geometry, GGA-PBE.

Geometry as POSCAR:
```
LaTc3Pd
1.0
4.796 0.000 0.000
0.000 4.796 0.000
0.000 0.000 4.796
Tc Pd La
3 1 1
direct
0.000 0.500 0.000 Tc
0.000 0.000 0.500 Tc
0.500 0.000 0.000 Tc
0.000 0.000 0.000 Pd
0.500 0.500 0.500 La
```

Computed properties:
The calculation puts the energy relative to the lowest polymorph listed for this composition at 0.00 eV per formula unit. The space group is No. 221. Its volume is 110.3 Å³/f.u.

=====

Record 3
CsTlInF3: optimized geometry, GGA-PBE.

Geometry as POSCAR:
```
CsTlInF3
1.0
-0.365 3.495 1.979
-4.787 -3.940 6.075
7.577 -2.024 4.973
Cs Tl In F
2 2 2 6
direct
0.250 0.132 0.159 Cs
0.750 0.868 0.841 Cs
0.250 0.586 0.169 Tl
0.750 0.414 0.831 Tl
0.250 0.181 0.577 In
0.750 0.819 0.423 In
0.750 0.864 0.167 F
0.250 0.136 0.833 F
0.250 0.918 0.582 F
0.750 0.082 0.418 F
0.750 0.391 0.099 F
0.250 0.609 0.901 F
```

Computed properties:
Its total energy is -0.290 Ry per atom. The space group is No. 11. Its volume is 162.5 Å³/f.u.

=====

| no. | theoretical density (g/cm³) |
| --- | --- |
| 1 | 6.05 |
| 2 | 8.12 |
| 3 | 5.20 |